A plane-wave DFT calculation with PBE was carried out for a relaxed PmHoCdAu crystal.

Cell and atoms, written as POSCAR:
```
PmHoCdAu
1.0
5.240 0.000 0.000
2.620 4.538 0.000
2.620 1.513 4.278
Ho Pm Cd Au
1 1 1 1
Direct
0.000 0.000 0.000 Ho
0.500 0.500 0.500 Pm
0.250 0.250 0.250 Cd
0.750 0.750 0.750 Au
```

The magnetic moment comes out at 0.00 μB per formula unit. Its formation energy is -0.538 eV per atom.

=====

A plane-wave DFT calculation with PBE was carried out for a relaxed PrHoCdAu crystal.

Cell and atoms, written as POSCAR:
```
PrHoCdAu
1.0
3.708 0.000 0.000
0.000 3.708 0.000
0.000 0.000 7.570
Ho Cd Au Pr
1 1 1 1
Direct
0.000 0.000 0.338 Ho
0.500 0.500 0.587 Cd
0.500 0.500 0.137 Au
0.000 0.000 0.866 Pr
```

The magnetic moment comes out at 0.24 μB per formula unit. Its formation energy is -0.564 eV per atom.

=====

no.,relative energy among the computed polymorphs (eV per atom)
1,0.034
2,0.000